#a
Below is a relaxed Be2OsCl crystal, with properties calculated at the GGA-PBEsol level.

Output
* calculated volume: 110.8 Å³ per cell
* total magnetic moment: 0.001 μB/cell
* space group: No. 44

a b c (Å): 2.801 3.528 11.211
angles (deg): 90.00 90.00 90.00
Atoms (fractional coordinates):
Be1 0.000 0.000 0.000
Be2 0.000 0.500 0.122
Be3 0.500 0.000 0.622
Be4 0.500 0.500 0.500
Os1 0.000 0.000 0.460
Os2 0.500 0.500 0.960
Cl1 0.000 0.500 0.771
Cl2 0.500 0.000 0.271

#b
Below is a relaxed Be2OsCl crystal, with properties calculated at the GGA-PBEsol level.

Output
* calculated volume: 92.1 Å³ per cell
* total magnetic moment: 0.000 μB/cell
* space group: No. 71

a b c (Å): 2.934 4.100 7.659
angles (deg): 90.00 90.00 90.00
Atoms (fractional coordinates):
Be1 0.000 0.000 0.248
Be2 0.000 0.000 0.752
Be3 0.500 0.500 0.252
Be4 0.500 0.500 0.748
Os1 0.000 0.500 0.000
Os2 0.500 0.000 0.500
Cl1 0.000 0.500 0.500
Cl2 0.500 0.000 0.000

So which one wins? Going from most stable to least: #a, #b.

#a
Below is a relaxed BePCl2 crystal, with properties calculated at the GGA-PBEsol level.

Output
* calculated volume: 184.0 Å³ per cell
* total magnetic moment: 0.000 μB/cell
* space group: No. 71

a b c (Å): 2.800 6.078 10.811
angles (deg): 90.00 90.00 90.00
Atoms (fractional coordinates):
Be1 0.000 0.000 0.000
Be2 0.500 0.500 0.500
P1 0.000 0.000 0.500
P2 0.500 0.500 0.000
Cl1 0.000 0.500 0.362
Cl2 0.000 0.500 0.638
Cl3 0.500 0.000 0.138
Cl4 0.500 0.000 0.862

#b
Below is a relaxed BePCl2 crystal, with properties calculated at the GGA-PBEsol level.

Output
* calculated volume: 63.2 Å³ per cell
* total magnetic moment: 0.000 μB/cell
* space group: No. 123

a b c (Å): 4.398 4.398 3.265
angles (deg): 90.00 90.00 90.00
Atoms (fractional coordinates):
Be1 0.000 0.000 0.000
P1 0.500 0.500 0.000
Cl1 0.000 0.500 0.500
Cl2 0.500 0.000 0.500

#c
Below is a relaxed BePCl2 crystal, with properties calculated at the GGA-PBEsol level.

Output
* calculated volume: 82.7 Å³ per cell
* total magnetic moment: 0.003 μB/cell
* space group: No. 123

a b c (Å): 2.829 2.829 10.335
angles (deg): 90.00 90.00 90.00
Atoms (fractional coordinates):
Be1 0.000 0.000 0.000
P1 0.000 0.000 0.500
Cl1 0.500 0.500 0.136
Cl2 0.500 0.500 0.864

So which one wins? Going from most stable to least: #a, #c, #b.

#a
Below is a relaxed BePCl crystal, with properties calculated at the GGA-PBEsol level.

Output
* calculated volume: 99.9 Å³ per cell
* total magnetic moment: 0.000 μB/cell
* space group: No. 107

a b c (Å): 2.782 2.782 12.901
angles (deg): 90.00 90.00 90.00
Atoms (fractional coordinates):
Be1 0.000 0.000 0.000
Be2 0.500 0.500 0.500
P1 0.000 0.000 0.371
P2 0.500 0.500 0.871
Cl1 0.000 0.000 0.604
Cl2 0.500 0.500 0.104

#b
Below is a relaxed BePCl crystal, with properties calculated at the GGA-PBEsol level.

Output
* calculated volume: 201.8 Å³ per cell
* total magnetic moment: 0.002 μB/cell
* space group: No. 216

a b c (Å): 5.866 5.866 5.866
angles (deg): 90.00 90.00 90.00
Atoms (fractional coordinates):
Be1 0.000 0.000 0.000
Be2 0.000 0.500 0.500
Be3 0.500 0.000 0.500
Be4 0.500 0.500 0.000
P1 0.000 0.000 0.500
P2 0.000 0.500 0.000
P3 0.500 0.000 0.000
P4 0.500 0.500 0.500
Cl1 0.250 0.250 0.250
Cl2 0.250 0.750 0.750
Cl3 0.750 0.250 0.750
Cl4 0.750 0.750 0.250

So which one wins? Going from most stable to least: #a, #b.

#a
Below is a relaxed Be2PbCl crystal, with properties calculated at the GGA-PBEsol level.

Output
* calculated volume: 282.8 Å³ per cell
* total magnetic moment: 0.000 μB/cell
* space group: No. 225

a b c (Å): 6.564 6.564 6.564
angles (deg): 90.00 90.00 90.00
Atoms (fractional coordinates):
Be1 0.250 0.250 0.250
Be2 0.250 0.250 0.750
Be3 0.250 0.750 0.250
Be4 0.250 0.750 0.750
Be5 0.750 0.250 0.250
Be6 0.750 0.250 0.750
Be7 0.750 0.750 0.250
Be8 0.750 0.750 0.750
Pb1 0.000 0.000 0.000
Pb2 0.000 0.500 0.500
Pb3 0.500 0.000 0.500
Pb4 0.500 0.500 0.000
Cl1 0.000 0.000 0.500
Cl2 0.000 0.500 0.000
Cl3 0.500 0.000 0.000
Cl4 0.500 0.500 0.500

#b
Below is a relaxed Be2PbCl crystal, with properties calculated at the GGA-PBEsol level.

Output
* calculated volume: 142.2 Å³ per cell
* total magnetic moment: 0.000 μB/cell
* space group: No. 71

a b c (Å): 3.218 6.063 7.289
angles (deg): 90.00 90.00 90.00
Atoms (fractional coordinates):
Be1 0.000 0.000 0.219
Be2 0.000 0.000 0.781
Be3 0.500 0.500 0.281
Be4 0.500 0.500 0.719
Pb1 0.000 0.500 0.000
Pb2 0.500 0.000 0.500
Cl1 0.000 0.500 0.500
Cl2 0.500 0.000 0.000

So which one wins? Going from most stable to least: #b, #a.

#a
Below is a relaxed Be2PbCl crystal, with properties calculated at the GGA-PBEsol level.

Output
* calculated volume: 302.0 Å³ per cell
* total magnetic moment: 0.002 μB/cell
* space group: No. 216

a b c (Å): 6.709 6.709 6.709
angles (deg): 90.00 90.00 90.00
Atoms (fractional coordinates):
Be1 0.000 0.000 0.000
Be2 0.000 0.500 0.500
Be3 0.250 0.250 0.250
Be4 0.250 0.750 0.750
Be5 0.500 0.000 0.500
Be6 0.500 0.500 0.000
Be7 0.750 0.250 0.750
Be8 0.750 0.750 0.250
Pb1 0.250 0.250 0.750
Pb2 0.250 0.750 0.250
Pb3 0.750 0.250 0.250
Pb4 0.750 0.750 0.750
Cl1 0.000 0.000 0.500
Cl2 0.000 0.500 0.000
Cl3 0.500 0.000 0.000
Cl4 0.500 0.500 0.500

#b
Below is a relaxed Be2PbCl crystal, with properties calculated at the GGA-PBEsol level.

Output
* calculated volume: 165.9 Å³ per cell
* total magnetic moment: 0.000 μB/cell
* space group: No. 35

a b c (Å): 2.982 5.944 9.360
angles (deg): 90.00 90.00 90.00
Atoms (fractional coordinates):
Be1 0.000 0.000 0.000
Be2 0.000 0.500 0.192
Be3 0.500 0.000 0.192
Be4 0.500 0.500 0.000
Pb1 0.000 0.500 0.752
Pb2 0.500 0.000 0.752
Cl1 0.000 0.000 0.338
Cl2 0.500 0.500 0.338

So which one wins? Going from most stable to least: #b, #a.

#a
Below is a relaxed BePb2Cl crystal, with properties calculated at the GGA-PBEsol level.

Output
* calculated volume: 89.6 Å³ per cell
* total magnetic moment: 0.000 μB/cell
* space group: No. 123

a b c (Å): 5.249 5.249 3.253
angles (deg): 90.00 90.00 90.00
Atoms (fractional coordinates):
Be1 0.000 0.000 0.000
Pb1 0.000 0.500 0.500
Pb2 0.500 0.000 0.500
Cl1 0.500 0.500 0.000

#b
Below is a relaxed BePb2Cl crystal, with properties calculated at the GGA-PBEsol level.

Output
* calculated volume: 179.3 Å³ per cell
* total magnetic moment: 0.000 μB/cell
* space group: No. 139

a b c (Å): 4.992 4.992 7.197
angles (deg): 90.00 90.00 90.00
Atoms (fractional coordinates):
Be1 0.000 0.000 0.000
Be2 0.500 0.500 0.500
Pb1 0.000 0.500 0.250
Pb2 0.000 0.500 0.750
Pb3 0.500 0.000 0.250
Pb4 0.500 0.000 0.750
Cl1 0.000 0.000 0.500
Cl2 0.500 0.500 0.000

So which one wins? Going from most stable to least: #a, #b.

#a
Below is a relaxed BePdCl2 crystal, with properties calculated at the GGA-PBEsol level.

Output
* calculated volume: 272.7 Å³ per cell
* total magnetic moment: 0.003 μB/cell
* space group: No. 122

a b c (Å): 5.445 5.445 9.201
angles (deg): 90.00 90.00 90.00
Atoms (fractional coordinates):
Be1 0.000 0.000 0.000
Be2 0.000 0.500 0.250
Be3 0.500 0.000 0.750
Be4 0.500 0.500 0.500
Pd1 0.000 0.000 0.500
Pd2 0.000 0.500 0.750
Pd3 0.500 0.000 0.250
Pd4 0.500 0.500 0.000
Cl1 0.179 0.750 0.125
Cl2 0.250 0.179 0.875
Cl3 0.250 0.321 0.375
Cl4 0.321 0.750 0.625
Cl5 0.679 0.250 0.625
Cl6 0.750 0.679 0.375
Cl7 0.750 0.821 0.875
Cl8 0.821 0.250 0.125

#b
Below is a relaxed BePdCl2 crystal, with properties calculated at the GGA-PBEsol level.

Output
* calculated volume: 185.5 Å³ per cell
* total magnetic moment: 0.000 μB/cell
* space group: No. 166

a b c (Å): 3.140 3.140 21.724
angles (deg): 90.00 90.00 120.00
Atoms (fractional coordinates):
Be1 0.000 0.000 0.000
Be2 0.333 0.667 0.667
Be3 0.667 0.333 0.333
Pd1 0.000 0.000 0.500
Pd2 0.333 0.667 0.167
Pd3 0.667 0.333 0.833
Cl1 0.000 0.000 0.392
Cl2 0.000 0.000 0.608
Cl3 0.333 0.667 0.058
Cl4 0.333 0.667 0.275
Cl5 0.667 0.333 0.725
Cl6 0.667 0.333 0.942

So which one wins? Going from most stable to least: #b, #a.

#a
Below is a relaxed BeRe2Cl crystal, with properties calculated at the GGA-PBEsol level.

Output
* calculated volume: 113.5 Å³ per cell
* total magnetic moment: 0.000 μB/cell
* space group: No. 12

a b c (Å): 5.151 8.911 2.973
angles (deg): 90.00 123.72 90.00
Atoms (fractional coordinates):
Be1 0.000 0.000 0.000
Be2 0.500 0.500 0.000
Re1 0.250 0.250 0.500
Re2 0.250 0.750 0.500
Re3 0.750 0.250 0.500
Re4 0.750 0.750 0.500
Cl1 0.000 0.500 0.000
Cl2 0.500 0.000 0.000

#b
Below is a relaxed BeRe2Cl crystal, with properties calculated at the GGA-PBEsol level.

Output
* calculated volume: 108.7 Å³ per cell
* total magnetic moment: 0.003 μB/cell
* space group: No. 119

a b c (Å): 3.919 3.919 7.079
angles (deg): 90.00 90.00 90.00
Atoms (fractional coordinates):
Be1 0.000 0.000 0.000
Be2 0.500 0.500 0.500
Re1 0.000 0.000 0.500
Re2 0.000 0.500 0.250
Re3 0.500 0.000 0.750
Re4 0.500 0.500 0.000
Cl1 0.000 0.500 0.750
Cl2 0.500 0.000 0.250

So which one wins? Going from most stable to least: #a, #b.

#a
Below is a relaxed BeRu2Cl crystal, with properties calculated at the GGA-PBEsol level.

Output
* calculated volume: 48.5 Å³ per cell
* total magnetic moment: 0.001 μB/cell
* space group: No. 123

a b c (Å): 2.859 2.859 5.938
angles (deg): 90.00 90.00 90.00
Atoms (fractional coordinates):
Be1 0.000 0.000 0.000
Ru1 0.500 0.500 0.219
Ru2 0.500 0.500 0.781
Cl1 0.000 0.000 0.500

#b
Below is a relaxed BeRu2Cl crystal, with properties calculated at the GGA-PBEsol level.

Output
* calculated volume: 51.9 Å³ per cell
* total magnetic moment: 0.002 μB/cell
* space group: No. 47

a b c (Å): 2.731 4.042 4.706
angles (deg): 90.00 90.00 90.00
Atoms (fractional coordinates):
Be1 0.000 0.000 0.000
Ru1 0.000 0.500 0.500
Ru2 0.500 0.500 0.000
Cl1 0.500 0.000 0.500

#c
Below is a relaxed BeRu2Cl crystal, with properties calculated at the GGA-PBEsol level.

Output
* calculated volume: 155.0 Å³ per cell
* total magnetic moment: 0.001 μB/cell
* space group: No. 160

a b c (Å): 2.799 2.799 22.844
angles (deg): 90.00 90.00 120.00
Atoms (fractional coordinates):
Be1 0.000 0.000 0.000
Be2 0.333 0.667 0.667
Be3 0.667 0.333 0.333
Ru1 0.000 0.000 0.251
Ru2 0.000 0.000 0.499
Ru3 0.333 0.667 0.165
Ru4 0.333 0.667 0.918
Ru5 0.667 0.333 0.584
Ru6 0.667 0.333 0.832
Cl1 0.000 0.000 0.731
Cl2 0.333 0.667 0.397
Cl3 0.667 0.333 0.064

So which one wins? Going from most stable to least: #c, #a, #b.

#a
Below is a relaxed BeSbCl2 crystal, with properties calculated at the GGA-PBEsol level.

Output
* calculated volume: 78.7 Å³ per cell
* total magnetic moment: 0.000 μB/cell
* space group: No. 123

a b c (Å): 4.316 4.316 4.222
angles (deg): 90.00 90.00 90.00
Atoms (fractional coordinates):
Be1 0.000 0.000 0.000
Sb1 0.500 0.500 0.000
Cl1 0.000 0.500 0.500
Cl2 0.500 0.000 0.500

#b
Below is a relaxed BeSbCl2 crystal, with properties calculated at the GGA-PBEsol level.

Output
* calculated volume: 79.2 Å³ per cell
* total magnetic moment: 0.000 μB/cell
* space group: No. 47

a b c (Å): 3.165 4.177 5.993
angles (deg): 90.00 90.00 90.00
Atoms (fractional coordinates):
Be1 0.000 0.000 0.000
Sb1 0.000 0.000 0.500
Cl1 0.500 0.500 0.242
Cl2 0.500 0.500 0.758

So which one wins? Going from most stable to least: #a, #b.

#a
Below is a relaxed BeSbCl2 crystal, with properties calculated at the GGA-PBEsol level.

Output
* calculated volume: 208.1 Å³ per cell
* total magnetic moment: 0.001 μB/cell
* space group: No. 65

a b c (Å): 2.995 6.137 11.322
angles (deg): 90.00 90.00 90.00
Atoms (fractional coordinates):
Be1 0.000 0.000 0.000
Be2 0.500 0.500 0.000
Sb1 0.000 0.000 0.500
Sb2 0.500 0.500 0.500
Cl1 0.000 0.500 0.128
Cl2 0.000 0.500 0.872
Cl3 0.500 0.000 0.128
Cl4 0.500 0.000 0.872

#b
Below is a relaxed BeSbCl2 crystal, with properties calculated at the GGA-PBEsol level.

Output
* calculated volume: 367.0 Å³ per cell
* total magnetic moment: 0.001 μB/cell
* space group: No. 122

a b c (Å): 6.405 6.405 8.945
angles (deg): 90.00 90.00 90.00
Atoms (fractional coordinates):
Be1 0.000 0.000 0.000
Be2 0.000 0.500 0.250
Be3 0.500 0.000 0.750
Be4 0.500 0.500 0.500
Sb1 0.000 0.000 0.500
Sb2 0.000 0.500 0.750
Sb3 0.500 0.000 0.250
Sb4 0.500 0.500 0.000
Cl1 0.058 0.250 0.125
Cl2 0.250 0.558 0.375
Cl3 0.250 0.942 0.875
Cl4 0.442 0.250 0.625
Cl5 0.558 0.750 0.625
Cl6 0.750 0.058 0.875
Cl7 0.750 0.442 0.375
Cl8 0.942 0.750 0.125

So which one wins? Going from most stable to least: #a, #b.

#a
Below is a relaxed BeSb2Cl crystal, with properties calculated at the GGA-PBEsol level.

Output
* calculated volume: 82.0 Å³ per cell
* total magnetic moment: 0.000 μB/cell
* space group: No. 123

a b c (Å): 5.088 5.088 3.168
angles (deg): 90.00 90.00 90.00
Atoms (fractional coordinates):
Be1 0.000 0.000 0.000
Sb1 0.000 0.500 0.500
Sb2 0.500 0.000 0.500
Cl1 0.500 0.500 0.000

#b
Below is a relaxed BeSb2Cl crystal, with properties calculated at the GGA-PBEsol level.

Output
* calculated volume: 427.3 Å³ per cell
* total magnetic moment: 0.002 μB/cell
* space group: No. 122

a b c (Å): 5.494 5.494 14.160
angles (deg): 90.00 90.00 90.00
Atoms (fractional coordinates):
Be1 0.000 0.000 0.000
Be2 0.000 0.500 0.250
Be3 0.500 0.000 0.750
Be4 0.500 0.500 0.500
Sb1 0.150 0.250 0.125
Sb2 0.250 0.650 0.375
Sb3 0.250 0.850 0.875
Sb4 0.350 0.250 0.625
Sb5 0.650 0.750 0.625
Sb6 0.750 0.150 0.875
Sb7 0.750 0.350 0.375
Sb8 0.850 0.750 0.125
Cl1 0.000 0.000 0.500
Cl2 0.000 0.500 0.750
Cl3 0.500 0.000 0.250
Cl4 0.500 0.500 0.000

#c
Below is a relaxed BeSb2Cl crystal, with properties calculated at the GGA-PBEsol level.

Output
* calculated volume: 81.4 Å³ per cell
* total magnetic moment: 0.000 μB/cell
* space group: No. 123

a b c (Å): 3.255 3.255 7.687
angles (deg): 90.00 90.00 90.00
Atoms (fractional coordinates):
Be1 0.000 0.000 0.000
Sb1 0.500 0.500 0.205
Sb2 0.500 0.500 0.795
Cl1 0.000 0.000 0.500

So which one wins? Going from most stable to least: #c, #b, #a.

#a
Below is a relaxed Be2SbCl crystal, with properties calculated at the GGA-PBEsol level.

Output
* calculated volume: 66.9 Å³ per cell
* total magnetic moment: 0.000 μB/cell
* space group: No. 123

a b c (Å): 3.158 3.158 6.709
angles (deg): 90.00 90.00 90.00
Atoms (fractional coordinates):
Be1 0.000 0.000 0.234
Be2 0.000 0.000 0.766
Sb1 0.500 0.500 0.000
Cl1 0.500 0.500 0.500

#b
Below is a relaxed Be2SbCl crystal, with properties calculated at the GGA-PBEsol level.

Output
* calculated volume: 67.3 Å³ per cell
* total magnetic moment: 0.000 μB/cell
* space group: No. 99

a b c (Å): 3.664 3.664 5.016
angles (deg): 90.00 90.00 90.00
Atoms (fractional coordinates):
Be1 0.000 0.000 0.000
Be2 0.500 0.500 0.421
Sb1 0.500 0.500 0.917
Cl1 0.000 0.000 0.414

So which one wins? Going from most stable to least: #b, #a.